No. 1
A relaxed CaLa3Cd crystal. Source: Alexandria, functional PBE-GGA.

abc: 5.8451 5.8451 5.8451
angles: 90.00 90.00 90.00
With the nearest neighbours (Å) after each atom.
Atoms (fractional coordinates):
Ca1 0.0000 0.0000 0.0000  6 La 2.92
Cd1 0.5000 0.5000 0.5000  12 La 4.13
La1 0.0000 0.5000 0.0000  2 Ca 2.92
La2 0.0000 0.0000 0.5000  2 Ca 2.92
La3 0.5000 0.0000 0.0000  2 Ca 2.92

Output
DFT formation energy: 3.7 eV per formula unit
space-group type: Pm-3m, No. 221



No. 2
A relaxed RuI2Br6 crystal. Source: Alexandria, functional PBE-GGA.

abc: 9.4493 10.6265 10.6265
angles: 86.23 67.13 67.13
With the nearest neighbours (Å) after each atom.
Atoms (fractional coordinates):
Ru1 0.2500 0.2222 0.7778  4 Br 2.33-2.36
Ru2 0.7500 0.7778 0.2222  4 Br 2.33-2.36
I1 0.2144 0.6518 0.6541  1 Br 2.57
I2 0.2856 0.3459 0.3482  1 Br 2.57
I3 0.7856 0.3482 0.3459  1 Br 2.57
I4 0.7144 0.6541 0.6518  1 Br 2.57
Br1 0.0975 0.8936 0.5813  1 I 2.57
Br2 0.4025 0.4187 0.1064  1 I 2.57
Br3 0.9025 0.1064 0.4187  1 I 2.57
Br4 0.5975 0.5813 0.8936  1 I 2.57
Br5 0.8865 0.7356 0.3746  1 Ru 2.36
Br6 0.6135 0.6254 0.2644  1 Ru 2.36
Br7 0.1135 0.2644 0.6254  1 Ru 2.36
Br8 0.3865 0.3746 0.7356  1 Ru 2.36
Br9 0.9460 0.7285 0.9958  1 Ru 2.33
Br10 0.5540 0.0042 0.2715  1 Ru 2.33
Br11 0.0540 0.2715 0.0042  1 Ru 2.33
Br12 0.4460 0.9958 0.7285  1 Ru 2.33

Output
E_form (uncorrected): -0.03 eV per atom
space-group type: C2/c, No. 15



No. 3
A relaxed KRhI2O8 crystal. Source: Alexandria, functional PBE-GGA.

abc: 5.6787 5.6787 7.4246
angles: 90.00 90.00 120.00
With the nearest neighbours (Å) after each atom.
Atoms (fractional coordinates):
K1 0.0000 0.0000 0.0000  12 O 3.04-3.37
Rh1 0.0000 0.0000 0.5000  6 O 1.98
I1 0.6667 0.3333 0.3459  1 O 1.79
I2 0.3333 0.6667 0.6541  1 O 1.79
O1 0.3333 0.6667 0.8948  1 I 1.79
O2 0.2895 0.2820 0.3464  1 Rh 1.98, 1 I 2.01
O3 0.7180 0.0075 0.3464  1 Rh 1.98, 1 I 2.01
O4 0.6667 0.3333 0.1052  1 I 1.79
O5 0.2820 0.9925 0.6536  1 Rh 1.98, 1 I 2.01
O6 0.7105 0.7180 0.6536  1 Rh 1.98, 1 I 2.01
O7 0.0075 0.2895 0.6536  1 Rh 1.98, 1 I 2.01
O8 0.9925 0.7105 0.3464  1 Rh 1.98, 1 I 2.01

Output
E_form (uncorrected): -0.50 eV per atom
space-group type: P-3, No. 147



No. 4
A relaxed PrMgCd2 crystal. Source: Alexandria, functional PBE-GGA.

abc: 4.4844 4.8402 4.8402
angles: 90.00 90.00 90.00
With the nearest neighbours (Å) after each atom.
Atoms (fractional coordinates):
Pr1 0.5000 0.5000 0.5000  8 Cd 3.30, 4 Mg 3.42
Mg1 0.5000 0.0000 0.0000  8 Cd 3.30, 4 Pr 3.42
Cd1 0.0000 0.0000 0.5000  4 Pr 3.30, 4 Mg 3.30, 4 Cd 3.42
Cd2 0.0000 0.5000 0.0000  4 Pr 3.30, 4 Mg 3.30, 4 Cd 3.42

Output
DFT formation energy: -0.9 eV per formula unit
space-group type: P4/mmm, No. 123



No. 5
A relaxed Y2Si2Ir5 crystal. Source: Alexandria, functional PBE-GGA.

abc: 4.1343 4.1343 8.8641
angles: 90.00 90.00 90.00
With the nearest neighbours (Å) after each atom.
Atoms (fractional coordinates):
Y1 0.0000 0.0000 0.0000  8 Ir 3.14, 8 Si 3.17
Y2 0.0000 0.0000 0.5000  12 Ir 2.92
Si1 0.5000 0.5000 0.1370  4 Ir 2.37, 1 Si 2.43
Si2 0.5000 0.5000 0.8630  4 Ir 2.37, 1 Si 2.43
Ir1 0.5000 0.0000 0.2668  2 Si 2.37
Ir2 0.5000 0.0000 0.7332  2 Si 2.37
Ir3 0.0000 0.5000 0.2668  2 Si 2.37
Ir4 0.0000 0.5000 0.7332  2 Si 2.37
Ir5 0.5000 0.5000 0.5000  8 Ir 2.92, 4 Y 2.92, 2 Si 3.22

Output
E_form (uncorrected): -0.79 eV per atom
space-group type: P4/mmm, No. 123



No. 6
A relaxed Al2CdRu2 crystal. Source: Alexandria, functional PBE-GGA.

abc: 7.0598 7.0598 3.0558
angles: 90.00 90.00 90.00
With the nearest neighbours (Å) after each atom.
Atoms (fractional coordinates):
Ru1 0.1602 0.6602 0.5000  6 Al 2.57-2.58
Ru2 0.6602 0.8398 0.5000  6 Al 2.57-2.58
Ru3 0.8398 0.3398 0.5000  6 Al 2.57-2.58
Ru4 0.3398 0.1602 0.5000  6 Al 2.57-2.58
Al1 0.3674 0.8674 0.0000  6 Ru 2.57-2.58, 1 Al 2.65, 2 Cd 2.76
Al2 0.8674 0.6326 0.0000  6 Ru 2.57-2.58, 1 Al 2.65, 2 Cd 2.76
Al3 0.6326 0.1326 0.0000  6 Ru 2.57-2.58, 1 Al 2.65, 2 Cd 2.76
Al4 0.1326 0.3674 0.0000  6 Ru 2.57-2.58, 1 Al 2.65, 2 Cd 2.76
Cd1 0.0000 0.0000 0.0000  4 Al 2.76, 2 Cd 3.06, 8 Ru 3.06
Cd2 0.5000 0.5000 0.0000  4 Al 2.76, 2 Cd 3.06, 8 Ru 3.06

Output
DFT formation energy: -1.6 eV per formula unit
space-group type: P4/mbm, No. 127



| no. | total magnetic moment (μB/f.u.) |
| --- | --- |
| 1 | 0.0 |
| 2 | 0.0 |
| 3 | 0.0 |
| 4 | 0.0 |
| 5 | 0.0 |
| 6 | 0.0 |